No. 1
Entry from OQMD via LeMat-Bulk: crystalline NdZrIn at its relaxed geometry (PBE).

Unit cell a=5.068 b=5.068 c=5.068 alpha=60.00 beta=60.00 gamma=60.00
Last column: magnetic moment on the atom in μB.
Fractional coordinates of all 3 atoms:
In: 0.000 0.000 0.000  -0.01
Nd: 0.250 0.250 0.250  0.02
Zr: 0.750 0.750 0.750  0.07

* final energy: -15.5 eV per cell
* calculated density: 6.3 Mg/m³



No. 2
Entry from OQMD via LeMat-Bulk: crystalline NdZr2In at its relaxed geometry (PBE).

Unit cell a=4.642 b=4.642 c=4.591 alpha=90.00 beta=90.00 gamma=90.00
Fractional coordinates of all 4 atoms:
In: 0.000 0.000 0.000
Nd: 0.500 0.500 0.000
Zr: 0.500 0.000 0.500
Zr: 0.000 0.500 0.500

* final energy: -25.1 eV per cell
* calculated density: 7.4 Mg/m³



No. 3
Entry from OQMD via LeMat-Bulk: crystalline In9Ni13 at its relaxed geometry (PBE).

Unit cell a=6.726 b=6.726 c=8.505 alpha=108.05 beta=107.96 gamma=102.61
Fractional coordinates of all 22 atoms:
In: 0.174 0.941 0.116
In: 0.711 0.456 0.167
In: 0.830 0.059 0.309
In: 0.250 0.479 0.309
In: 0.500 0.000 0.500
In: 0.750 0.521 0.691
In: 0.170 0.941 0.691
In: 0.289 0.544 0.833
In: 0.826 0.059 0.884
Ni: 0.500 0.000 0.000
Ni: 0.265 0.265 0.000
Ni: 0.000 0.500 0.000
Ni: 0.735 0.735 0.000
Ni: 0.453 0.723 0.176
Ni: 0.545 0.277 0.341
Ni: 0.064 0.796 0.341
Ni: 0.740 0.741 0.481
Ni: 0.000 0.500 0.500
Ni: 0.260 0.259 0.519
Ni: 0.936 0.204 0.659
Ni: 0.455 0.723 0.659
Ni: 0.547 0.277 0.824

* final energy: -99.9 eV per cell
* calculated density: 9.1 Mg/m³



No. 4
Entry from OQMD via LeMat-Bulk: crystalline InNi17 at its relaxed geometry (PBE).

Unit cell a=4.269 b=4.942 c=28.787 alpha=90.00 beta=90.04 gamma=90.00
Last column: magnetic moment on the atom in μB.
Fractional coordinates of all 36 atoms:
In: 0.166 0.750 0.310  -0.03
In: 0.834 0.250 0.690  -0.03
Ni: 0.000 0.000 0.000  0.64
Ni: 0.000 0.500 0.000  0.63
Ni: 0.500 0.750 0.000  0.62
Ni: 0.167 0.250 0.071  0.62
Ni: 0.667 0.000 0.071  0.64
Ni: 0.667 0.500 0.071  0.64
Ni: 0.167 0.750 0.071  0.64
Ni: 0.834 0.250 0.141  0.64
Ni: 0.334 0.500 0.142  0.62
Ni: 0.334 0.000 0.142  0.63
Ni: 0.834 0.750 0.142  0.62
Ni: 0.500 0.250 0.212  0.53
Ni: 0.000 0.502 0.213  0.59
Ni: 0.000 0.998 0.213  0.58
Ni: 0.497 0.750 0.213  0.62
Ni: 0.666 0.006 0.282  0.38
Ni: 0.666 0.494 0.282  0.38
Ni: 0.169 0.250 0.282  0.37
Ni: 0.831 0.750 0.718  0.37
Ni: 0.334 0.506 0.718  0.38
Ni: 0.334 0.994 0.718  0.38
Ni: 0.503 0.250 0.787  0.62
Ni: 0.000 0.002 0.787  0.58
Ni: 0.000 0.498 0.787  0.59
Ni: 0.500 0.750 0.788  0.53
Ni: 0.166 0.250 0.858  0.62
Ni: 0.666 0.000 0.858  0.63
Ni: 0.666 0.500 0.858  0.62
Ni: 0.166 0.750 0.859  0.64
Ni: 0.833 0.250 0.929  0.64
Ni: 0.333 0.000 0.929  0.64
Ni: 0.333 0.500 0.929  0.64
Ni: 0.833 0.750 0.929  0.62
Ni: 0.500 0.250 0.000  0.63

* final energy: -192.0 eV per cell
* calculated density: 6.1 Mg/m³



No. 5
Entry from OQMD via LeMat-Bulk: crystalline In2Ni at its relaxed geometry (PBE).

Unit cell a=6.263 b=6.263 c=3.432 alpha=90.00 beta=90.00 gamma=90.00
Fractional coordinates of all 6 atoms:
In: 0.284 0.284 0.000
In: 0.716 0.716 0.000
In: 0.784 0.216 0.500
In: 0.216 0.784 0.500
Ni: 0.000 0.000 0.000
Ni: 0.500 0.500 0.500

* final energy: -22.1 eV per cell
* calculated density: 7.1 Mg/m³



No. 6
Entry from OQMD via LeMat-Bulk: crystalline InNi10 at its relaxed geometry (PBE).

Unit cell a=4.267 b=4.267 c=29.529 alpha=90.12 beta=90.12 gamma=48.41
Last column: magnetic moment on the atom in μB.
Fractional coordinates of all 22 atoms:
In: 0.153 0.153 0.208  -0.02
In: 0.847 0.847 0.792  -0.02
Ni: 0.851 0.851 0.248  0.21
Ni: 0.547 0.547 0.274  0.39
Ni: 0.248 0.248 0.301  0.49
Ni: 0.948 0.948 0.328  0.55
Ni: 0.649 0.649 0.354  0.62
Ni: 0.350 0.350 0.381  0.65
Ni: 0.050 0.050 0.407  0.63
Ni: 0.750 0.750 0.434  0.63
Ni: 0.450 0.450 0.460  0.65
Ni: 0.150 0.150 0.487  0.62
Ni: 0.850 0.850 0.513  0.62
Ni: 0.550 0.550 0.540  0.65
Ni: 0.250 0.250 0.566  0.63
Ni: 0.950 0.950 0.593  0.63
Ni: 0.650 0.650 0.619  0.65
Ni: 0.351 0.351 0.646  0.62
Ni: 0.052 0.052 0.672  0.55
Ni: 0.752 0.752 0.699  0.49
Ni: 0.453 0.453 0.726  0.39
Ni: 0.149 0.149 0.752  0.21

* final energy: -115.6 eV per cell
* calculated density: 5.8 Mg/m³